{"formula": "TcP", "functional": "PBE", "state": "relaxed", "delta_e_f_ev_per_atom": 0.14, "crystal_system": "cubic", "energy_ev_per_atom": -7.74, "e_above_lowest_polymorph_mev_per_atom": 713, "cell": [[-1.682, 6.202, -0.756], [-0.007, -0.785, -6.423], [-6.248, -1.669, 0.211]], "species": ["Tc", "Tc", "Tc", "P", "Tc", "P", "P", "P", "P", "Tc", "Tc", "P"], "frac_coords": [[0.500, 0.000, 0.250], [0.250, 0.500, 0.000], [0.750, 0.500, 0.000], [0.500, 0.750, 0.000], [0.000, 0.750, 0.500], [0.000, 0.500, 0.750], [0.000, 0.500, 0.250], [0.250, 0.000, 0.500], [0.500, 0.250, 0.000], [0.500, 0.000, 0.750], [0.000, 0.250, 0.500], [0.750, 0.000, 0.500]]}